No. 1
Computed, not measured: an optimized crystal structure of NiMoW2 at the GGA-PBEsol level of DFT.

Values from the calculation:
E_form   0.23 eV/atom
Density of states at the Fermi level   3.49 states/eV/f.u.
Energy relative to the lowest polymorph listed for this composition   7.4 kJ per mole of atoms

Lattice parameters (Å, degrees): 4.709 4.709 4.905 98.09 98.09 32.58
Atoms (fractional coordinates):
Ni1 0.000 0.000 0.000
Mo1 0.500 0.500 0.500
W1 0.264 0.264 0.762
W2 0.736 0.736 0.238



No. 2
Computed, not measured: an optimized crystal structure of Bi5S6Cl3 at the GGA-PBEsol level of DFT.

Values from the calculation:
Energy relative to the elements, uncorrected   -0.526 eV per atom

Lattice parameters (Å, degrees): 11.953 11.989 12.022 109.40 109.18 108.96
Atoms (fractional coordinates):
Bi1 0.000 0.000 0.000
Bi2 0.004 0.757 0.580
Bi3 0.105 0.431 0.535
Bi4 0.166 0.342 0.933
Bi5 0.273 0.159 0.563
Bi6 0.291 0.728 0.452
Bi7 0.328 0.950 0.205
Bi8 0.335 0.372 0.340
Bi9 0.411 0.748 0.858
Bi10 0.533 0.690 0.246
Bi11 0.610 0.065 0.785
Bi12 0.617 0.513 0.935
Bi13 0.651 0.300 0.538
Bi14 0.660 0.403 0.230
Bi15 0.666 0.679 0.661
Bi16 0.717 0.028 0.201
Bi17 0.830 0.008 0.582
Bi18 0.947 0.397 0.114
Bi19 0.972 0.828 0.240
Bi20 0.998 0.631 0.893
S1 0.036 0.560 0.397
S2 0.117 0.718 0.173
S3 0.145 0.649 0.729
S4 0.150 0.890 0.485
S5 0.154 0.886 0.960
S6 0.183 0.063 0.283
S7 0.253 0.507 0.211
S8 0.349 0.572 0.553
S9 0.373 0.884 0.720
S10 0.471 0.974 0.051
S11 0.481 0.442 0.068
S12 0.487 0.225 0.288
S13 0.500 0.392 0.603
S14 0.571 0.553 0.396
S15 0.596 0.859 0.571
S16 0.631 0.985 0.363
S17 0.636 0.753 0.087
S18 0.707 0.221 0.066
S19 0.813 0.790 0.403
S20 0.815 0.558 0.154
S21 0.822 0.560 0.625
S22 0.837 0.727 0.942
S23 0.904 0.883 0.733
S24 0.931 0.186 0.905
Cl1 0.026 0.255 0.239
Cl2 0.134 0.119 0.731
Cl3 0.239 0.196 0.051
Cl4 0.299 0.652 0.021
Cl5 0.310 0.425 0.754
Cl6 0.449 0.058 0.518
Cl7 0.464 0.217 0.810
Cl8 0.696 0.924 0.906
Cl9 0.777 0.384 0.846
Cl10 0.818 0.300 0.396
Cl11 0.985 0.340 0.713
Cl12 0.997 0.110 0.436



No. 3
Computed, not measured: an optimized crystal structure of Na2CrH2F8 at the GGA-PBEsol level of DFT.

Values from the calculation:
Density of states at the Fermi level   7.81 states/eV/f.u.
Total DFT energy (no corrections)   -5.057 eV per atom

Lattice parameters (Å, degrees): 5.427 5.427 5.349 106.31 106.31 94.80
Atoms (fractional coordinates):
Na1 0.231 0.769 0.000
Na2 0.769 0.231 0.000
Cr1 0.500 0.500 0.500
H1 0.163 0.163 0.722
H2 0.837 0.837 0.278
F1 0.047 0.047 0.770
F2 0.181 0.501 0.277
F3 0.357 0.357 0.721
F4 0.499 0.819 0.723
F5 0.501 0.181 0.277
F6 0.643 0.643 0.279
F7 0.819 0.499 0.723
F8 0.953 0.953 0.230



No. 4
Computed, not measured: an optimized crystal structure of Li2ZnTcBi at the GGA-PBEsol level of DFT.

Values from the calculation:
E_form   0.95 eV/atom
Density of states at the Fermi level   5.26 states/eV/f.u.

Lattice parameters (Å, degrees): 4.973 4.973 5.213 90.00 90.00 90.00
Atoms (fractional coordinates):
Li1 0.000 0.500 0.000
Li2 0.500 0.000 0.000
Zn1 0.000 0.000 0.500
Tc1 0.500 0.500 0.500
Bi1 0.500 0.500 0.000



No. 5
Computed, not measured: an optimized crystal structure of ZnAsN3 at the GGA-PBEsol level of DFT.

Values from the calculation:
Density of states at the Fermi level   3.35 states/eV/f.u.
Energy relative to the elements, uncorrected   1.400 eV per atom

Lattice parameters (Å, degrees): 3.726 3.726 3.726 90.00 90.00 90.00
Atoms (fractional coordinates):
Zn1 0.000 0.000 0.000
As1 0.500 0.500 0.500
N1 0.000 0.500 0.500
N2 0.500 0.000 0.500
N3 0.500 0.500 0.000



No. 6
Computed, not measured: an optimized crystal structure of Ta2IrPb at the GGA-PBEsol level of DFT.

Values from the calculation:
E_form   0.10 eV/atom
Density of states at the Fermi level   2.03 states/eV/f.u.

Lattice parameters (Å, degrees): 2.932 4.051 6.029 90.00 90.13 90.00
Atoms (fractional coordinates):
Ta1 0.000 0.000 0.222
Ta2 0.000 0.000 0.778
Ir1 0.500 0.500 0.000
Pb1 0.500 0.500 0.500



No. 7
Computed, not measured: an optimized crystal structure of Hf2MnH at the GGA-PBEsol level of DFT.

Values from the calculation:
Density of states at the Fermi level   3.48 states/eV/f.u.
Total DFT energy (no corrections)   -8.245 eV per atom

Lattice parameters (Å, degrees): 4.300 4.300 4.300 60.00 60.00 60.00
Atoms (fractional coordinates):
Hf1 0.250 0.250 0.250
Hf2 0.750 0.750 0.750
Mn1 0.000 0.000 0.000
H1 0.500 0.500 0.500



No. 8
Computed, not measured: an optimized crystal structure of K3NaBi at the GGA-PBEsol level of DFT.

Values from the calculation:
E_form   -0.07 eV/atom
Density of states at the Fermi level   3.85 states/eV/f.u.

Lattice parameters (Å, degrees): 6.797 6.797 6.797 90.00 90.00 90.00
Atoms (fractional coordinates):
K1 0.000 0.000 0.500
K2 0.000 0.500 0.000
K3 0.500 0.000 0.000
Na1 0.500 0.500 0.500
Bi1 0.000 0.000 0.000



No. 9
Computed, not measured: an optimized crystal structure of CrGa2PdO at the GGA-PBEsol level of DFT.

Values from the calculation:
Density of states at the Fermi level   3.77 states/eV/f.u.
Energy relative to the elements, uncorrected   -0.177 eV per atom

Lattice parameters (Å, degrees): 4.802 4.802 3.414 90.00 90.00 90.00
Atoms (fractional coordinates):
Cr1 0.000 0.000 0.000
Ga1 0.000 0.500 0.000
Ga2 0.500 0.000 0.000
Pd1 0.500 0.500 0.500
O1 0.000 0.000 0.500



No. 10
Computed, not measured: an optimized crystal structure of MnZnNi at the GGA-PBEsol level of DFT.

Values from the calculation:
E_form   0.00 eV/atom
Density of states at the Fermi level   2.22 states/eV/f.u.

Lattice parameters (Å, degrees): 5.287 5.287 5.287 150.31 150.31 42.49
Atoms (fractional coordinates):
Mn1 0.000 0.000 0.000
Zn1 0.682 0.682 0.000
Ni1 0.344 0.344 0.000



No. 11
Computed, not measured: an optimized crystal structure of TcAg2As at the GGA-PBEsol level of DFT.

Values from the calculation:
E_form   0.15 eV/atom
Density of states at the Fermi level   2.52 states/eV/f.u.

Lattice parameters (Å, degrees): 8.897 8.897 8.897 19.03 19.03 19.03
Atoms (fractional coordinates):
Tc1 0.000 0.000 0.000
Ag1 0.246 0.246 0.246
Ag2 0.493 0.493 0.493
As1 0.733 0.733 0.733



No. 12
Computed, not measured: an optimized crystal structure of MgCu2O3 at the GGA-PBEsol level of DFT.

Values from the calculation:
Density of states at the Fermi level   1.78 states/eV/f.u.
Energy relative to the elements, uncorrected   -1.257 eV per atom

Lattice parameters (Å, degrees): 4.010 9.302 3.176 90.00 90.00 90.00
Atoms (fractional coordinates):
Mg1 0.250 0.250 0.126
Mg2 0.750 0.750 0.874
Cu1 0.250 0.586 0.333
Cu2 0.250 0.914 0.333
Cu3 0.750 0.086 0.667
Cu4 0.750 0.414 0.667
O1 0.250 0.095 0.619
O2 0.250 0.405 0.619
O3 0.250 0.750 0.982
O4 0.750 0.250 0.018
O5 0.750 0.595 0.381
O6 0.750 0.905 0.381



No. 13
Computed, not measured: an optimized crystal structure of Al4Sb3 at the GGA-PBEsol level of DFT.

Values from the calculation:
Density of states at the Fermi level   3.55 states/eV/f.u.
Energy relative to the lowest polymorph listed for this composition   0.0 kJ per mole of atoms
Energy relative to the elements, uncorrected   0.166 eV per atom

Lattice parameters (Å, degrees): 11.438 11.438 11.438 161.65 161.65 26.06
Atoms (fractional coordinates):
Al1 0.069 0.069 0.000
Al2 0.365 0.365 0.000
Al3 0.635 0.635 0.000
Al4 0.931 0.931 0.000
Sb1 0.199 0.199 0.000
Sb2 0.500 0.500 0.000
Sb3 0.801 0.801 0.000



No. 14
Computed, not measured: an optimized crystal structure of Y2TlHg at the GGA-PBEsol level of DFT.

Values from the calculation:
E_form   -0.54 eV/atom
Density of states at the Fermi level   4.04 states/eV/f.u.

Lattice parameters (Å, degrees): 3.675 3.675 7.475 90.00 90.00 90.00
Atoms (fractional coordinates):
Y1 0.000 0.000 0.243
Y2 0.000 0.000 0.757
Tl1 0.500 0.500 0.500
Hg1 0.500 0.500 0.000



No. 15
Computed, not measured: an optimized crystal structure of Ba2TlGa2 at the GGA-PBEsol level of DFT.

Values from the calculation:
E_form   -0.18 eV/atom
Density of states at the Fermi level   4.32 states/eV/f.u.
Energy relative to the lowest polymorph listed for this composition   6.5 kJ per mole of atoms

Lattice parameters (Å, degrees): 6.140 6.140 6.140 115.95 115.95 97.17
Atoms (fractional coordinates):
Ba1 0.250 0.750 0.500
Ba2 0.750 0.250 0.500
Tl1 0.000 0.000 0.000
Ga1 0.353 0.353 0.000
Ga2 0.647 0.647 0.000



No. 16
Computed, not measured: an optimized crystal structure of AsPbSe2N at the GGA-PBEsol level of DFT.

Values from the calculation:
Density of states at the Fermi level   4.21 states/eV/f.u.
Energy relative to the elements, uncorrected   1.270 eV per atom

Lattice parameters (Å, degrees): 5.394 5.394 4.118 90.00 90.00 90.00
Atoms (fractional coordinates):
As1 0.000 0.000 0.000
Pb1 0.500 0.500 0.500
Se1 0.000 0.500 0.500
Se2 0.500 0.000 0.500
N1 0.500 0.500 0.000



No. 17
Computed, not measured: an optimized crystal structure of N at the GGA-PBEsol level of DFT.

Values from the calculation:
Density of states at the Fermi level   0.00 states/eV/f.u.
Energy relative to the lowest polymorph listed for this composition   0.0 kJ per mole of atoms
Energy relative to the elements, uncorrected   0.000 eV per atom

Lattice parameters (Å, degrees): 5.695 5.695 5.695 90.00 90.00 90.00
Atoms (fractional coordinates):
N1 0.056 0.056 0.056
N2 0.056 0.444 0.556
N3 0.444 0.556 0.056
N4 0.444 0.944 0.556
N5 0.556 0.056 0.444
N6 0.556 0.444 0.944
N7 0.944 0.556 0.444
N8 0.944 0.944 0.944



No. 18
Computed, not measured: an optimized crystal structure of RbBiAs2Br at the GGA-PBEsol level of DFT.

Values from the calculation:
Density of states at the Fermi level   6.81 states/eV/f.u.
Energy relative to the elements, uncorrected   1.147 eV per atom

Lattice parameters (Å, degrees): 5.535 5.535 5.627 90.00 90.00 90.00
Atoms (fractional coordinates):
Rb1 0.000 0.000 0.000
Bi1 0.500 0.500 0.500
As1 0.000 0.500 0.000
As2 0.500 0.000 0.000
Br1 0.000 0.000 0.500



No. 19
Computed, not measured: an optimized crystal structure of BaCu2WBr at the GGA-PBEsol level of DFT.

Values from the calculation:
Density of states at the Fermi level   3.87 states/eV/f.u.
Energy relative to the elements, uncorrected   2.044 eV per atom

Lattice parameters (Å, degrees): 5.515 5.515 5.783 90.00 90.00 90.00
Atoms (fractional coordinates):
Ba1 0.000 0.000 0.000
Cu1 0.000 0.500 0.000
Cu2 0.500 0.000 0.000
W1 0.500 0.500 0.500
Br1 0.000 0.000 0.500



No. 20
Computed, not measured: an optimized crystal structure of PrSn6Ru4 at the GGA-PBEsol level of DFT.

Values from the calculation:
E_form   -0.34 eV/atom
Density of states at the Fermi level   6.12 states/eV/f.u.

Lattice parameters (Å, degrees): 6.875 6.875 6.875 120.20 120.20 89.66
Atoms (fractional coordinates):
Pr1 0.000 0.000 0.000
Sn1 0.000 0.500 0.500
Sn2 0.116 0.116 0.642
Sn3 0.474 0.474 0.358
Sn4 0.500 0.000 0.500
Sn5 0.526 0.884 0.000
Sn6 0.884 0.526 0.000
Ru1 0.251 0.591 0.000
Ru2 0.409 0.409 0.660
Ru3 0.591 0.251 0.000
Ru4 0.749 0.749 0.340